# 1
First-principles (PBE-GGA) data for an optimized crystal structure of AlGa2, as listed in Alexandria via LeMat-Bulk.

Results
Formation energy from the elements, eV/atom: 0.016
Size of the total moment, μB/f.u.: 0.0

Unit cell a=2.894 b=2.946 c=7.346 alpha=100.16 beta=90.23 gamma=118.96
Element x y z (fractional)
Al: 0.000 0.000 0.000
Ga: 0.435 0.858 0.314
Ga: 0.565 0.142 0.686

# 2
First-principles (PBE-GGA) data for an optimized crystal structure of CeSm3Zn4, as listed in Alexandria via LeMat-Bulk.

Results
Formation energy from the elements, eV/atom: -0.281
Size of the total moment, μB/f.u.: 0.7

Unit cell a=3.627 b=3.627 c=14.614 alpha=90.00 beta=90.00 gamma=90.00
Element x y z (fractional)
Ce: 0.000 0.000 0.000
Sm: 0.000 0.000 0.250
Sm: 0.000 0.000 0.500
Sm: 0.000 0.000 0.750
Zn: 0.500 0.500 0.126
Zn: 0.500 0.500 0.375
Zn: 0.500 0.500 0.625
Zn: 0.500 0.500 0.874

# 3
First-principles (PBE-GGA) data for an optimized crystal structure of CsSm2CuTe4, as listed in Alexandria via LeMat-Bulk.

Results
Formation energy (no corrections), meV per atom: -1162.5
Size of the total moment, μB/f.u.: 0.0

Unit cell a=8.240 b=8.240 c=15.695 alpha=90.00 beta=90.00 gamma=148.37
Element x y z (fractional)
Cs: 0.108 0.892 0.750
Cs: 0.892 0.108 0.250
Sm: 0.366 0.634 0.562
Sm: 0.366 0.634 0.938
Sm: 0.634 0.366 0.062
Sm: 0.634 0.366 0.438
Cu: 0.164 0.836 0.250
Cu: 0.836 0.164 0.750
Te: 0.000 0.000 0.000
Te: 0.000 0.000 0.500
Te: 0.261 0.739 0.111
Te: 0.261 0.739 0.389
Te: 0.425 0.575 0.750
Te: 0.575 0.425 0.250
Te: 0.739 0.261 0.611
Te: 0.739 0.261 0.889

# 4
First-principles (PBE-GGA) data for an optimized crystal structure of Pa2RhPbO8, as listed in Alexandria via LeMat-Bulk.

Results
Formation energy (no corrections), meV per atom: -2352.6
Size of the total moment, μB/f.u.: 0.0

Unit cell a=4.992 b=4.992 c=7.129 alpha=90.00 beta=90.00 gamma=91.11
Element x y z (fractional)
Pa: 0.000 0.000 0.242
Pa: 0.000 0.000 0.758
Rh: 0.500 0.500 0.000
Pb: 0.500 0.500 0.500
O: 0.174 0.826 0.500
O: 0.200 0.800 0.000
O: 0.304 0.304 0.213
O: 0.304 0.304 0.787
O: 0.696 0.696 0.213
O: 0.696 0.696 0.787
O: 0.800 0.200 0.000
O: 0.826 0.174 0.500

- Which of these has the highest size of the total moment?
  CeSm3Zn4